First-principles (PBE) data for a relaxed Nd6YTl2 crystal, as listed in Alexandria via LeMat-Bulk.

Lattice parameters (Å, degrees): 6.034 10.032 10.032 72.37 82.74 82.74
Atoms (fractional coordinates):
Y1 0.750 0.856 0.144
Y2 0.250 0.144 0.856
Nd1 0.035 0.554 0.329
Nd2 0.167 0.362 0.114
Nd3 0.801 0.998 0.773
Nd4 0.535 0.329 0.554
Nd5 0.965 0.446 0.671
Nd6 0.667 0.114 0.362
Nd7 0.465 0.671 0.446
Nd8 0.199 0.002 0.227
Nd9 0.333 0.886 0.638
Nd10 0.699 0.227 0.002
Nd11 0.301 0.773 0.998
Nd12 0.833 0.638 0.886
Tl1 0.100 0.207 0.483
Tl2 0.900 0.793 0.517
Tl3 0.400 0.517 0.793
Tl4 0.600 0.483 0.207

## Properties
Calculated density ... 7.920 g/cm³
Energy above the lowest structure with this stoichiometry ... 0.93 kcal/mol of atoms



First-principles (PBE) data for a relaxed NdY8Tl2 crystal, as listed in Alexandria via LeMat-Bulk.

Lattice parameters (Å, degrees): 5.701 8.761 8.761 118.73 101.51 101.51
Atoms (fractional coordinates):
Y1 0.500 0.778 0.222
Y2 0.296 0.595 0.595
Y3 0.884 0.677 0.907
Y4 0.704 0.405 0.405
Y5 0.116 0.323 0.093
Y6 0.884 0.907 0.677
Y7 0.116 0.093 0.323
Y8 0.500 0.222 0.778
Tl1 0.000 0.306 0.694
Tl2 0.000 0.694 0.306
Nd1 0.500 0.000 0.000

## Properties
Uncorrected energy ... -5.59 eV per atom
Calculated density ... 5.946 g/cm³



First-principles (PBE) data for a relaxed NdY4Tl crystal, as listed in Alexandria via LeMat-Bulk.

Lattice parameters (Å, degrees): 5.426 6.598 6.813 62.05 66.54 65.72
Atoms (fractional coordinates):
Tl1 0.000 0.000 0.000
Y1 0.354 0.997 0.295
Y2 0.646 0.003 0.705
Y3 0.698 0.435 0.169
Y4 0.302 0.565 0.831
Nd1 0.000 0.500 0.500

## Properties
Calculated density ... 6.158 g/cm³
Energy above the lowest structure with this stoichiometry ... 0.00 kcal/mol of atoms



First-principles (PBE) data for a relaxed NdYTl2 crystal, as listed in Alexandria via LeMat-Bulk.

Lattice parameters (Å, degrees): 3.849 3.849 7.702 90.00 90.00 90.00
Atoms (fractional coordinates):
Tl1 0.000 0.000 0.761
Tl2 0.000 0.000 0.239
Nd1 0.500 0.500 0.500
Y1 0.500 0.500 0.000

## Properties
Uncorrected energy ... -4.38 eV per atom
Calculated density ... 9.340 g/cm³



First-principles (PBE) data for a relaxed Nd5Y12Tl2 crystal, as listed in Alexandria via LeMat-Bulk.

Lattice parameters (Å, degrees): 9.523 12.189 8.409 131.77 90.00 112.99
Atoms (fractional coordinates):
Y1 0.079 0.158 0.279
Y2 0.921 0.842 0.721
Y3 0.820 0.252 0.589
Y4 0.180 0.748 0.411
Y5 0.963 0.292 0.059
Y6 0.432 0.252 0.589
Y7 0.552 0.105 0.786
Y8 0.671 0.708 0.941
Y9 0.329 0.292 0.059
Y10 0.448 0.895 0.214
Y11 0.568 0.748 0.411
Y12 0.037 0.708 0.941
Tl1 0.313 0.000 0.000
Tl2 0.687 0.000 0.000
Nd1 0.766 0.532 0.111
Nd2 0.691 0.382 0.374
Nd3 0.234 0.468 0.889
Nd4 0.309 0.618 0.626
Nd5 0.000 0.000 0.500

## Properties
Uncorrected energy ... -5.58 eV per atom
Calculated density ... 5.883 g/cm³



First-principles (PBE) data for a relaxed Nd5YTl2 crystal, as listed in Alexandria via LeMat-Bulk.

Lattice parameters (Å, degrees): 3.714 8.568 8.568 80.65 77.48 77.48
Atoms (fractional coordinates):
Tl1 0.278 0.222 0.222
Tl2 0.722 0.778 0.778
Nd1 0.361 0.859 0.419
Nd2 0.639 0.141 0.581
Nd3 0.361 0.419 0.859
Nd4 0.639 0.581 0.141
Nd5 0.000 0.500 0.500
Y1 0.000 0.000 0.000

## Properties
Calculated density ... 7.848 g/cm³
Energy above the lowest structure with this stoichiometry ... 0.00 kcal/mol of atoms



First-principles (PBE) data for a relaxed Nd3YTl4 crystal, as listed in Alexandria via LeMat-Bulk.

Lattice parameters (Å, degrees): 3.862 3.862 15.657 90.00 90.00 90.00
Atoms (fractional coordinates):
Tl1 0.000 0.000 0.117
Tl2 0.000 0.000 0.883
Tl3 0.000 0.000 0.372
Tl4 0.000 0.000 0.628
Y1 0.500 0.500 0.000
Nd1 0.500 0.500 0.755
Nd2 0.500 0.500 0.245
Nd3 0.500 0.500 0.500

## Properties
Calculated density ... 9.521 g/cm³
Energy above the lowest structure with this stoichiometry ... 0.00 kcal/mol of atoms



First-principles (PBE) data for a relaxed NdY7Tl4 crystal, as listed in Alexandria via LeMat-Bulk.

Lattice parameters (Å, degrees): 5.723 9.327 7.884 74.39 68.72 72.13
Atoms (fractional coordinates):
Y1 0.280 0.658 0.783
Y2 0.500 0.000 0.000
Y3 0.720 0.342 0.217
Y4 0.790 0.878 0.542
Y5 0.938 0.395 0.730
Y6 0.062 0.605 0.270
Y7 0.210 0.122 0.458
Tl1 0.686 0.667 0.960
Tl2 0.562 0.244 0.631
Tl3 0.438 0.756 0.369
Tl4 0.314 0.333 0.040
Nd1 0.000 0.000 0.000

## Properties
Uncorrected energy ... -5.01 eV per atom
Calculated density ... 7.163 g/cm³



First-principles (PBE) data for a relaxed Nd6Y2Tl crystal, as listed in Alexandria via LeMat-Bulk.

Lattice parameters (Å, degrees): 8.604 8.604 9.060 87.48 87.48 64.18
Atoms (fractional coordinates):
Nd1 0.103 0.722 0.626
Nd2 0.534 0.664 0.141
Nd3 0.897 0.278 0.374
Nd4 0.278 0.897 0.874
Nd5 0.722 0.103 0.126
Nd6 0.887 0.398 0.987
Nd7 0.466 0.336 0.859
Nd8 0.398 0.887 0.487
Nd9 0.664 0.534 0.641
Nd10 0.602 0.113 0.513
Nd11 0.336 0.466 0.359
Nd12 0.113 0.602 0.013
Tl1 0.885 0.115 0.750
Tl2 0.115 0.885 0.250
Y1 0.297 0.140 0.161
Y2 0.860 0.703 0.339
Y3 0.140 0.297 0.661
Y4 0.703 0.860 0.839

## Properties
Calculated density ... 6.873 g/cm³
Energy above the lowest structure with this stoichiometry ... 1.00 kcal/mol of atoms



First-principles (PBE) data for a relaxed Nd6YTl crystal, as listed in Alexandria via LeMat-Bulk.

Lattice parameters (Å, degrees): 6.598 6.652 9.299 69.05 69.35 59.82
Atoms (fractional coordinates):
Nd1 0.965 0.574 0.292
Nd2 0.176 0.971 0.290
Nd3 0.430 0.823 0.709
Nd4 0.035 0.426 0.708
Nd5 0.824 0.029 0.710
Nd6 0.570 0.177 0.291
Tl1 0.000 0.000 0.000
Y1 0.500 0.500 0.500

## Properties
Calculated density ... 5.979 g/cm³
Energy above the lowest structure with this stoichiometry ... 11.12 kcal/mol of atoms



First-principles (PBE) data for a relaxed NdY14Tl crystal, as listed in Alexandria via LeMat-Bulk.

Lattice parameters (Å, degrees): 6.972 6.972 10.918 90.00 90.00 105.14
Atoms (fractional coordinates):
Y1 0.894 0.705 0.500
Y2 0.080 0.334 0.243
Y3 0.155 0.845 0.221
Y4 0.863 0.548 0.000
Y5 0.080 0.334 0.757
Y6 0.666 0.920 0.243
Y7 0.815 0.185 0.500
Y8 0.452 0.137 0.000
Y9 0.593 0.407 0.725
Y10 0.155 0.845 0.779
Y11 0.295 0.106 0.500
Y12 0.365 0.635 0.500
Y13 0.593 0.407 0.275
Y14 0.666 0.920 0.757
Tl1 0.940 0.060 0.000
Nd1 0.389 0.611 0.000

## Properties
Uncorrected energy ... -6.11 eV per atom
Calculated density ... 5.164 g/cm³



First-principles (PBE) data for a relaxed Nd12Y3Tl crystal, as listed in Alexandria via LeMat-Bulk.

Lattice parameters (Å, degrees): 5.106 5.106 20.757 90.00 90.00 90.00
Atoms (fractional coordinates):
Nd1 0.000 0.500 0.374
Nd2 0.500 0.000 0.374
Nd3 0.500 0.000 0.121
Nd4 0.500 0.500 0.247
Nd5 0.000 0.500 0.879
Nd6 0.500 0.500 0.000
Nd7 0.000 0.500 0.626
Nd8 0.500 0.000 0.626
Nd9 0.500 0.000 0.879
Nd10 0.500 0.500 0.500
Nd11 0.000 0.500 0.121
Nd12 0.500 0.500 0.753
Y1 0.000 0.000 0.248
Y2 0.000 0.000 0.500
Y3 0.000 0.000 0.752
Tl1 0.000 0.000 0.000

## Properties
Uncorrected energy ... -4.97 eV per atom
Calculated density ... 6.758 g/cm³